This record from Alexandria via LeMat-Bulk describes a relaxed structure of PmTm8Sc2. The functional is PBE.

Cell: 4.888 7.754 9.162 Å, 104.81 105.47 90.00°
Fractional coordinates of all 11 atoms:
Pm 0.500 0.000 0.000
Tm 0.406 0.541 0.812
Tm 0.683 0.911 0.366
Tm 0.860 0.810 0.721
Tm 0.953 0.274 0.905
Tm 0.140 0.190 0.279
Tm 0.317 0.089 0.634
Tm 0.594 0.459 0.188
Tm 0.047 0.726 0.095
Sc 0.772 0.365 0.543
Sc 0.228 0.635 0.457

Computed properties:
- N(E_F): 15.8 states/eV/f.u.
- Crystal system: monoclinic
- Calculated formation energy: 0.04 eV per atom

---

This record from Alexandria via LeMat-Bulk describes a relaxed structure of CrHg2PtW. The functional is PBE.

Cell: 4.993 4.618 4.993 Å, 90.00 90.00 90.00°
Fractional coordinates of all 5 atoms:
W 0.500 0.500 0.500
Cr 0.000 0.000 0.000
Hg 0.000 0.000 0.500
Hg 0.500 0.000 0.000
Pt 0.000 0.500 0.000

Computed properties:
- N(E_F): 5.1 states/eV/f.u.
- Crystal system: tetragonal
- Calculated formation energy: 1.69 eV per atom

---

This record from Alexandria via LeMat-Bulk describes a relaxed structure of CaPt2SF. The functional is PBE.

Cell: 5.190 5.125 5.190 Å, 90.00 90.00 90.00°
Fractional coordinates of all 5 atoms:
Ca 0.000 0.000 0.000
S 0.000 0.500 0.000
Pt 0.000 0.000 0.500
Pt 0.500 0.000 0.000
F 0.500 0.500 0.500

Computed properties:
- N(E_F): 3.1 states/eV/f.u.
- Crystal system: tetragonal
- Formation energy from raw total energies: 98.39 kJ/mol of atoms

---

This record from Alexandria via LeMat-Bulk describes a relaxed structure of SrLiIr2. The functional is PBE.

Cell: 5.374 5.374 5.374 Å, 136.53 136.53 63.16°
Fractional coordinates of all 4 atoms:
Ir 0.000 0.000 0.000
Ir 0.500 0.500 0.000
Li 0.250 0.750 0.500
Sr 0.750 0.250 0.500

Computed properties:
- N(E_F): 5.1 states/eV/f.u.
- Crystal system: tetragonal
- Calculated formation energy: 0.23 eV per atom

---

This record from Alexandria via LeMat-Bulk describes a relaxed structure of TbPaPb2. The functional is PBE.

Cell: 4.440 5.007 5.007 Å, 90.00 90.00 90.00°
Fractional coordinates of all 4 atoms:
Pb 0.000 0.000 0.500
Pb 0.000 0.500 0.000
Pa 0.500 0.000 0.000
Tb 0.500 0.500 0.500

Computed properties:
- N(E_F): 6.8 states/eV/f.u.
- Crystal system: tetragonal
- Calculated formation energy: -0.12 eV per atom

---

This record from Alexandria via LeMat-Bulk describes a relaxed structure of Si2HgPt2. The functional is PBE.

Cell: 3.850 3.850 6.481 Å, 72.72 72.72 90.00°
Fractional coordinates of all 5 atoms:
Si 0.750 0.250 0.500
Si 0.250 0.750 0.500
Hg 0.000 0.000 0.000
Pt 0.373 0.373 0.254
Pt 0.627 0.627 0.746

Computed properties:
- N(E_F): 2.2 states/eV/f.u.
- Crystal system: tetragonal
- Formation energy from raw total energies: -32.21 kJ/mol of atoms

---

This record from Alexandria via LeMat-Bulk describes a relaxed structure of Mn2AgMo. The functional is PBE.

Cell: 8.920 8.920 8.920 Å, 18.34 18.34 18.34°
Fractional coordinates of all 4 atoms:
Ag 0.750 0.750 0.750
Mn 0.995 0.995 0.995
Mn 0.505 0.505 0.505
Mo 0.250 0.250 0.250

Computed properties:
- N(E_F): 3.7 states/eV/f.u.
- Crystal system: trigonal
- Calculated formation energy: 0.39 eV per atom

---

This record from Alexandria via LeMat-Bulk describes a relaxed structure of BeSi2Ru. The functional is PBE.

Cell: 4.094 4.094 4.094 Å, 60.00 60.00 60.00°
Fractional coordinates of all 4 atoms:
Ru 0.750 0.750 0.750
Si 0.000 0.000 0.000
Si 0.250 0.250 0.250
Be 0.500 0.500 0.500

Computed properties:
- N(E_F): 2.9 states/eV/f.u.
- Crystal system: cubic
- Formation energy from raw total energies: 13.66 kJ/mol of atoms

---

This record from Alexandria via LeMat-Bulk describes a relaxed structure of Sc3HgIr. The functional is PBE.

Cell: 5.040 5.040 5.040 Å, 90.00 90.00 90.00°
Fractional coordinates of all 5 atoms:
Sc 0.000 0.500 0.000
Sc 0.000 0.000 0.500
Sc 0.500 0.000 0.000
Ir 0.000 0.000 0.000
Hg 0.500 0.500 0.500

Computed properties:
- N(E_F): 5.9 states/eV/f.u.
- Crystal system: cubic
- Calculated formation energy: -0.30 eV per atom

---

This record from Alexandria via LeMat-Bulk describes a relaxed structure of RbSn4Au9. The functional is PBE.

Cell: 9.628 9.628 9.624 Å, 120.02 120.02 90.00°
Fractional coordinates of all 28 atoms:
Rb 0.750 0.750 0.500
Rb 0.250 0.250 0.500
Sn 0.310 0.810 0.246
Sn 0.935 0.435 0.246
Sn 0.565 0.690 0.754
Sn 0.190 0.065 0.754
Sn 0.690 0.190 0.754
Sn 0.065 0.565 0.754
Sn 0.810 0.935 0.246
Sn 0.435 0.310 0.246
Au 0.037 0.203 0.000
Au 0.963 0.797 0.000
Au 0.537 0.297 0.000
Au 0.463 0.703 0.000
Au 0.297 0.463 0.000
Au 0.703 0.537 0.000
Au 0.203 0.963 0.000
Au 0.797 0.037 0.000
Au 0.000 0.500 0.000
Au 0.500 0.000 0.000
Au 0.801 0.301 0.365
Au 0.563 0.063 0.365
Au 0.937 0.199 0.635
Au 0.699 0.437 0.635
Au 0.199 0.699 0.635
Au 0.437 0.937 0.635
Au 0.301 0.563 0.365
Au 0.063 0.801 0.365

Computed properties:
- N(E_F): 4.5 states/eV/f.u.
- Crystal system: tetragonal
- Calculated formation energy: -0.16 eV per atom

---

This record from Alexandria via LeMat-Bulk describes a relaxed structure of PaMn3H. The functional is PBE.

Cell: 3.914 3.914 3.914 Å, 90.00 90.00 90.00°
Fractional coordinates of all 5 atoms:
H 0.000 0.000 0.000
Pa 0.500 0.500 0.500
Mn 0.000 0.500 0.000
Mn 0.000 0.000 0.500
Mn 0.500 0.000 0.000

Computed properties:
- N(E_F): 11.3 states/eV/f.u.
- Crystal system: cubic
- Electronic total energy: -7.954 eV/atom

---

This record from Alexandria via LeMat-Bulk describes a relaxed structure of CaTcRh. The functional is PBE.

Cell: 6.513 6.512 3.037 Å, 76.52 76.52 26.96°
Fractional coordinates of all 3 atoms:
Ca 0.998 0.998 0.002
Rh 0.307 0.307 0.693
Tc 0.695 0.695 0.305

Computed properties:
- N(E_F): 3.2 states/eV/f.u.
- Crystal system: tetragonal
- Calculated formation energy: 0.17 eV per atom